## LaCuRe (meta-GGA SCAN)

Data for a crystal of LaCuRe relaxed with PBEsol.

Geometry as extended XYZ:
```
3
Lattice="4.215 0.000 0.000 -2.108 3.650 0.000 0.000 0.000 4.007" Properties=species:S:1:pos:R:3 pbc="T T T"
La 0.000 0.000 0.000
Cu 0.000 2.434 2.004
Re 2.108 1.217 2.004
```

Calculated values
DOS(E_F): 3.3 states/eV/f.u.
ρ: 10.468 g/cm³
size of the total moment: 0.00 Bohr magnetons per cell
symmetry: P-6m2, No. 187

---

## BaMgP2S (meta-GGA SCAN)

Data for a crystal of BaMgP2S relaxed with PBEsol.

Geometry as extended XYZ:
```
5
Lattice="4.850 0.000 0.000 0.000 4.850 0.000 0.000 0.000 4.983" Properties=species:S:1:pos:R:3 pbc="T T T"
Ba 0.000 0.000 0.000
Mg 2.425 2.425 2.491
P 0.000 2.425 2.491
P 2.425 0.000 2.491
S 2.425 2.425 0.000
```

Calculated values
DOS(E_F): 4.5 states/eV/f.u.
ρ: 3.621 g/cm³
formation energy from raw total energies: -0.418 eV/atom
size of the total moment: 0.00 Bohr magnetons per cell
symmetry: P4/mmm, No. 123

---

## Ca2LaOs (meta-GGA SCAN)

Data for a crystal of Ca2LaOs relaxed with PBEsol.

Geometry as extended XYZ:
```
8
Lattice="5.976 0.000 0.000 0.000 10.993 0.000 -1.758 0.000 3.060" Properties=species:S:1:pos:R:3 pbc="T T T"
Ca 1.494 2.748 0.000
Ca 1.494 8.245 0.000
Ca 4.482 2.748 0.000
Ca 4.482 8.245 0.000
La -0.879 0.000 1.530
La 2.109 5.497 1.530
Os -0.879 5.497 1.530
Os 2.109 0.000 1.530
```

Calculated values
DOS(E_F): 3.0 states/eV/f.u.
ρ: 6.762 g/cm³
size of the total moment: 0.00 Bohr magnetons per cell
symmetry: C2/m, No. 12

---

## AlW3C (meta-GGA SCAN)

Data for a crystal of AlW3C relaxed with PBEsol.

Geometry as extended XYZ:
```
5
Lattice="4.123 0.000 0.000 0.000 4.123 0.000 0.000 0.000 4.123" Properties=species:S:1:pos:R:3 pbc="T T T"
Al 0.000 0.000 0.000
W 0.000 2.061 2.061
W 2.061 0.000 2.061
W 2.061 2.061 0.000
C 2.061 2.061 2.061
```

Calculated values
DOS(E_F): 2.0 states/eV/f.u.
ρ: 13.995 g/cm³
size of the total moment: 0.00 Bohr magnetons per cell
symmetry: Pm-3m, No. 221

---

## BeCoRe3 (meta-GGA SCAN)

Data for a crystal of BeCoRe3 relaxed with PBEsol.

Geometry as extended XYZ:
```
5
Lattice="4.035 0.000 0.000 0.000 4.035 0.000 0.000 0.000 4.035" Properties=species:S:1:pos:R:3 pbc="T T T"
Be 0.000 0.000 0.000
Co 2.018 2.018 2.018
Re 0.000 0.000 2.018
Re 0.000 2.018 0.000
Re 2.018 0.000 0.000
```

Calculated values
DOS(E_F): 4.0 states/eV/f.u.
ρ: 15.835 g/cm³
size of the total moment: 0.93 Bohr magnetons per cell
symmetry: Pm-3m, No. 221

---

## AlCu2W (meta-GGA SCAN)

Data for a crystal of AlCu2W relaxed with PBEsol.

Geometry as extended XYZ:
```
8
Lattice="5.184 0.000 0.000 0.000 8.579 0.000 -0.915 0.000 2.414" Properties=species:S:1:pos:R:3 pbc="T T T"
Al 0.000 0.000 0.000
Al 2.592 4.289 0.000
Cu 0.838 2.145 1.207
Cu 0.838 6.434 1.207
Cu 3.430 2.145 1.207
Cu 3.430 6.434 1.207
W 0.000 4.289 0.000
W 2.592 0.000 0.000
```

Calculated values
DOS(E_F): 1.6 states/eV/f.u.
ρ: 10.452 g/cm³
size of the total moment: 0.00 Bohr magnetons per cell
symmetry: C2/m, No. 12

---

## LiTeW2 (meta-GGA SCAN)

Data for a crystal of LiTeW2 relaxed with PBEsol.

Geometry as extended XYZ:
```
8
Lattice="3.111 0.000 0.000 0.000 4.636 0.000 0.000 0.000 9.797" Properties=species:S:1:pos:R:3 pbc="T T T"
Li 0.000 0.000 0.000
Li 1.555 2.318 0.000
Te 0.000 0.000 4.898
Te 1.555 2.318 4.898
W 0.000 2.318 2.381
W 0.000 2.318 7.416
W 1.555 0.000 2.381
W 1.555 0.000 7.416
```

Calculated values
DOS(E_F): 2.9 states/eV/f.u.
ρ: 11.804 g/cm³
formation energy from raw total energies: 1.139 eV/atom
size of the total moment: 0.00 Bohr magnetons per cell
symmetry: Cmmm, No. 65

---

## VSiNi (meta-GGA SCAN)

Data for a crystal of VSiNi relaxed with PBEsol.

Geometry as extended XYZ:
```
12
Lattice="5.921 0.000 0.000 0.000 3.500 0.000 0.000 0.000 6.859" Properties=species:S:1:pos:R:3 pbc="T T T"
V 0.158 0.875 1.137
V 2.802 2.625 4.566
V 3.118 0.875 2.292
V 5.763 2.625 5.722
Si 1.361 2.625 2.536
Si 1.600 0.875 5.965
Si 4.321 2.625 0.894
Si 4.560 0.875 4.323
Ni 0.868 0.875 3.842
Ni 2.093 2.625 0.413
Ni 3.828 0.875 6.446
Ni 5.053 2.625 3.016
```

Calculated values
DOS(E_F): 2.3 states/eV/f.u.
ρ: 6.436 g/cm³
formation energy from raw total energies: -0.618 eV/atom
size of the total moment: 0.00 Bohr magnetons per cell
symmetry: Pnma, No. 62

---

## LiTaP2 (meta-GGA SCAN)

Data for a crystal of LiTaP2 relaxed with PBEsol.

Geometry as extended XYZ:
```
8
Lattice="6.667 0.000 0.000 0.000 6.666 0.000 -0.751 0.000 2.688" Properties=species:S:1:pos:R:3 pbc="T T T"
Li 0.000 0.000 0.000
Li 3.334 3.333 0.000
Ta 0.000 3.333 0.000
Ta 3.334 0.000 0.000
P 1.291 1.666 1.344
P 1.291 4.999 1.344
P 4.625 1.666 1.344
P 4.625 4.999 1.344
```

Calculated values
DOS(E_F): 2.0 states/eV/f.u.
ρ: 6.946 g/cm³
size of the total moment: 0.00 Bohr magnetons per cell
symmetry: C2/m, No. 12

---

## RbHfFe3 (meta-GGA SCAN)

Data for a crystal of RbHfFe3 relaxed with PBEsol.

Geometry as extended XYZ:
```
5
Lattice="4.413 0.000 0.000 0.000 4.413 0.000 0.000 0.000 4.413" Properties=species:S:1:pos:R:3 pbc="T T T"
Rb 0.000 0.000 0.000
Hf 2.207 2.207 2.207
Fe 0.000 0.000 2.207
Fe 0.000 2.207 0.000
Fe 2.207 0.000 0.000
```

Calculated values
DOS(E_F): 7.7 states/eV/f.u.
ρ: 8.335 g/cm³
size of the total moment: 5.54 Bohr magnetons per cell
symmetry: Pm-3m, No. 221

---

## CrSiTeW2 (meta-GGA SCAN)

Data for a crystal of CrSiTeW2 relaxed with PBEsol.

Geometry as extended XYZ:
```
5
Lattice="4.597 0.000 0.000 0.000 4.597 0.000 0.000 0.000 4.243" Properties=species:S:1:pos:R:3 pbc="T T T"
Cr 0.000 0.000 0.000
Si 0.000 0.000 2.122
Te 2.298 2.298 2.122
W 0.000 2.298 0.000
W 2.298 0.000 0.000
```

Calculated values
DOS(E_F): 4.1 states/eV/f.u.
ρ: 10.656 g/cm³
formation energy from raw total energies: 1.304 eV/atom
size of the total moment: 0.00 Bohr magnetons per cell
symmetry: P4/mmm, No. 123

---

## GdNi2Ge2 (meta-GGA SCAN)

Data for a crystal of GdNi2Ge2 relaxed with PBEsol.

Geometry as extended XYZ:
```
10
Lattice="4.033 0.000 0.000 0.000 4.033 0.000 0.000 0.000 9.691" Properties=species:S:1:pos:R:3 pbc="T T T"
Gd 0.000 0.000 0.000
Gd 2.016 2.016 4.845
Ni 0.000 2.016 2.423
Ni 0.000 2.016 7.268
Ni 2.016 0.000 2.423
Ni 2.016 0.000 7.268
Ge 0.000 0.000 3.590
Ge 0.000 0.000 6.101
Ge 2.016 2.016 1.255
Ge 2.016 2.016 8.436
```

Calculated values
DOS(E_F): 3.4 states/eV/f.u.
ρ: 8.849 g/cm³
size of the total moment: 15.05 Bohr magnetons per cell
symmetry: I4/mmm, No. 139

---

## Cd2InPb (meta-GGA SCAN)

Data for a crystal of Cd2InPb relaxed with PBEsol.

Geometry as extended XYZ:
```
12
Lattice="3.307 0.000 0.000 -1.653 2.864 0.000 0.000 0.000 31.106" Properties=species:S:1:pos:R:3 pbc="T T T"
Cd 0.000 0.000 7.670
Cd 0.000 0.000 23.435
Cd 0.000 1.909 13.067
Cd 0.000 1.909 28.408
Cd 1.653 0.955 2.698
Cd 1.653 0.955 18.039
In 0.000 0.000 15.553
In 0.000 1.909 5.184
In 1.653 0.955 25.922
Pb 0.000 0.000 0.000
Pb 0.000 1.909 20.737
Pb 1.653 0.955 10.369
```

Calculated values
DOS(E_F): 1.7 states/eV/f.u.
ρ: 9.247 g/cm³
size of the total moment: 0.00 Bohr magnetons per cell
symmetry: R-3m, No. 166

---

Number 1: VASP energy -42.70 eV per atom. Number 2: VASP energy -15.41 eV per atom. Number 3: VASP energy -33.01 eV per atom. Number 4: VASP energy -45.10 eV per atom. Number 5: VASP energy -46.04 eV per atom. Number 6: VASP energy -26.84 eV per atom. Number 7: VASP energy -43.62 eV per atom. Number 8: VASP energy -15.18 eV per atom. Number 9: VASP energy -22.70 eV per atom. Number 10: VASP energy -24.99 eV per atom. Number 11: VASP energy -39.70 eV per atom. Number 12: VASP energy -26.61 eV per atom. Number 13: VASP energy -42.42 eV per atom.